Material: SrTiPt2
Method: DFT, PBE
State: optimized geometry

Computed properties:
**Relative energy among the computed polymorphs**: 376.1 meV per atom
**Crystal system**: tetragonal
**M_tot**: 0.00 μB per cell
**ΔE_f**: -412 meV/atom

```
SrTiPt2
1.0
7.4840 0.0000 0.0000
0.0000 7.4840 0.0000
3.7420 3.7420 3.3683
Pt Sr Ti
4 2 2
Cartesian
5.6130 6.1455 2.5263 Pt
2.4035 5.6130 0.8421 Pt
9.3550 8.8225 2.5263 Pt
5.0805 1.8710 0.8421 Pt
7.4840 3.7420 1.6842 Sr
0.0000 0.0000 0.0000 Sr
3.7420 3.7420 0.0000 Ti
3.7420 7.4840 1.6842 Ti
```

Material: SrTiPt2
Method: DFT, PBE
State: optimized geometry

Computed properties:
**Relative energy among the computed polymorphs**: 0.0 meV per atom
**Crystal system**: tetragonal
**M_tot**: 0.00 μB per cell
**ΔE_f**: -788 meV/atom

```
SrTiPt2
1.0
-0.2949 -3.2102 0.5643
3.2067 -0.1842 0.6277
-1.3367 1.3951 7.2379
Sr Pt Ti
1 2 1
Cartesian
0.7876 -0.9996 4.2150 Sr
-1.0848 1.1322 5.8738 Pt
-0.2519 0.2629 1.3641 Pt
1.4559 -1.6972 0.5960 Ti
```

Material: SrTi2Pt
Method: DFT, PBE
State: optimized geometry

Computed properties:
**Relative energy among the computed polymorphs**: 84.8 meV per atom
**Crystal system**: tetragonal
**M_tot**: 0.00 μB per cell
**ΔE_f**: 235 meV/atom

```
SrTi2Pt
1.0
-0.3396 2.8716 3.8068
-2.4813 -3.3655 2.3173
6.5202 -3.7748 6.4307
Ti Sr Pt
4 2 2
Cartesian
1.0227 1.1483 5.2283 Ti
4.4527 -2.1749 6.5402 Ti
4.2828 -0.7392 8.4436 Ti
-0.2179 -0.5345 6.3869 Ti
-1.4105 -0.2469 3.0620 Sr
1.3142 -3.6936 5.9050 Sr
0.0000 0.0000 0.0000 Pt
2.3851 -0.5751 6.6498 Pt
```

Material: Sr2TiPt
Method: DFT, PBE
State: optimized geometry

Computed properties:
**Relative energy among the computed polymorphs**: 0.0 meV per atom
**Crystal system**: tetragonal
**M_tot**: 2.81 μB per cell
**ΔE_f**: -24 meV/atom

```
Sr2TiPt
1.0
11.2487 0.0000 0.0000
0.0000 11.2487 0.0000
5.6243 5.6243 2.4497
Sr Ti Pt
4 2 2
Cartesian
12.2774 8.4365 0.6124 Sr
14.0609 4.5956 1.8372 Sr
8.4365 6.6531 1.8372 Sr
10.2200 2.8122 0.6124 Sr
5.6243 11.2487 1.2248 Ti
5.6243 5.6243 0.0000 Ti
11.2487 5.6243 1.2248 Pt
0.0000 0.0000 0.0000 Pt
```

Material: SrTiPt3
Method: DFT, PBE
State: optimized geometry

Computed properties:
**Crystal system**: cubic
**M_tot**: 0.00 μB per cell
**ΔE_f**: -344 meV/atom

```
SrTiPt3
1.0
-2.0865 4.0265 1.6846
1.5436 -1.0657 4.4593
4.0826 2.4608 -0.8251
Pt Sr Ti
3 1 1
Cartesian
-1.0432 2.0132 0.8423 Pt
2.0413 1.2304 -0.4126 Pt
0.7718 -0.5329 2.2296 Pt
1.7699 2.7108 2.6593 Sr
0.0000 0.0000 0.0000 Ti
```

Material: SrTiPt2
Method: DFT, PBE
State: optimized geometry

Computed properties:
**Relative energy among the computed polymorphs**: 380.4 meV per atom
**Crystal system**: cubic
**M_tot**: 0.00 μB per cell
**ΔE_f**: -408 meV/atom

```
SrTiPt2
1.0
3.6074 1.9481 2.5456
0.0124 4.7347 0.9332
-0.7929 1.5761 4.4917
Pt Ti Sr
2 1 1
Cartesian
0.7067 2.0647 1.9926 Pt
2.1202 6.1941 5.9779 Pt
0.0000 0.0000 0.0000 Ti
1.4135 4.1294 3.9853 Sr
```

Material: SrTiPt2W
Method: DFT, PBE
State: optimized geometry

Computed properties:
**Crystal system**: tetragonal
**M_tot**: 0.00 μB per cell
**ΔE_f**: 2303 meV/atom

```
SrTiPt2W
1.0
-0.4605 -4.9622 0.0117
3.3052 -0.2981 3.6438
-3.6680 0.3483 3.3557
Sr Pt W Ti
1 2 1 1
Cartesian
0.0000 0.0000 0.0000 Sr
-0.2302 -2.4811 0.0059 Pt
-1.8340 0.1742 1.6778 Pt
1.6526 -0.1490 1.8219 W
-0.4116 -2.4560 3.5056 Ti
```

Material: SrTl2Pt
Method: DFT, PBE
State: optimized geometry

Computed properties:
**Crystal system**: trigonal
**M_tot**: 0.00 μB per cell
**ΔE_f**: -306 meV/atom

```
SrTl2Pt
1.0
-1.4646 -3.1676 -5.4253
3.1638 -2.5635 -5.0032
0.9928 -5.8686 -2.4874
Tl Pt Sr
2 1 1
Cartesian
2.6199 -11.2890 -12.5699 Tl
1.4181 -6.1105 -6.8038 Tl
0.6730 -2.8999 -3.2290 Pt
2.0190 -8.6998 -9.6869 Sr
```

Material: Sr2TlPt
Method: DFT, PBE
State: optimized geometry

Computed properties:
**Relative energy among the computed polymorphs**: 62.7 meV per atom
**Crystal system**: monoclinic
**M_tot**: 0.00 μB per cell
**ΔE_f**: -507 meV/atom

```
Sr2TlPt
1.0
-1.7096 -2.8068 2.7387
-2.1086 -3.4226 -1.4633
6.1895 -6.6285 0.3837
Pt Sr Tl
1 2 1
Cartesian
0.5928 -3.2145 0.4148 Pt
0.7954 -6.1927 0.8320 Sr
-3.4279 -6.4657 1.2730 Sr
1.7785 -9.6434 1.2443 Tl
```

Material: SrTl4Pt
Method: DFT, PBE
State: optimized geometry

Computed properties:
**Crystal system**: cubic
**M_tot**: 0.00 μB per cell
**ΔE_f**: 117 meV/atom

```
SrTl4Pt
1.0
2.7402 0.5553 5.6142
0.2265 5.5874 2.8400
-3.4895 1.0689 5.1007
Tl Sr Pt
4 1 1
Cartesian
-1.9261 3.2419 7.6260 Tl
-0.0844 5.4815 6.5055 Tl
-0.1966 2.7122 5.0978 Tl
1.1615 2.9874 7.8805 Tl
0.0000 0.0000 0.0000 Sr
-0.3921 5.4087 10.1662 Pt
```

Material: Sr2TlPt2
Method: DFT, PBE
State: optimized geometry

Computed properties:
**Crystal system**: tetragonal
**M_tot**: 0.00 μB per cell
**ΔE_f**: -573 meV/atom

```
Sr2TlPt2
1.0
-3.6456 -1.8377 4.3318
1.5756 -5.6402 -1.0667
1.9925 -3.4021 4.3234
Sr Tl Pt
2 1 2
Cartesian
-1.3440 -4.4894 5.1439 Sr
1.2666 -6.3906 2.4446 Sr
0.0000 0.0000 0.0000 Tl
-0.0166 -7.2494 5.0901 Pt
-0.0608 -3.6305 2.4984 Pt
```

Material: Sr5Tl2Pt2
Method: DFT, PBE
State: optimized geometry

Computed properties:
**Crystal system**: orthorhombic
**M_tot**: 0.00 μB per cell
**ΔE_f**: -578 meV/atom

```
Sr5Tl2Pt2
1.0
7.6730 0.0000 2.7852
0.0000 8.2052 0.0000
0.8268 0.0000 9.6839
Sr Tl Pt
10 4 4
Cartesian
1.7705 1.4211 2.9298 Sr
0.5988 5.5237 2.5045 Sr
4.4353 6.7841 3.8971 Sr
4.0644 1.4211 8.5720 Sr
7.9009 2.6815 9.9646 Sr
6.7292 6.7841 9.5393 Sr
5.6070 2.6815 4.3225 Sr
0.0000 0.0000 0.0000 Sr
2.8928 5.5237 8.1467 Sr
3.8365 4.1026 1.3926 Sr
2.5131 4.1026 5.0382 Tl
5.9866 4.1026 7.4309 Tl
2.1501 0.0000 6.0383 Tl
6.3496 0.0000 6.4308 Tl
0.9217 3.1109 0.3346 Pt
4.7581 0.9917 1.7272 Pt
2.9148 7.2135 1.0581 Pt
6.7513 5.0943 2.4507 Pt
```

Material: Sr2TlPt
Method: DFT, PBE
State: optimized geometry

Computed properties:
**Relative energy among the computed polymorphs**: 102.0 meV per atom
**Crystal system**: cubic
**M_tot**: 0.00 μB per cell
**ΔE_f**: -468 meV/atom

```
Sr2TlPt
1.0
0.0000 3.8732 3.8732
3.8732 0.0000 3.8732
3.8732 3.8732 0.0000
Tl Pt Sr
1 1 2
Cartesian
3.8732 3.8732 3.8732 Tl
0.0000 0.0000 0.0000 Pt
1.9366 1.9366 1.9366 Sr
5.8098 5.8098 5.8098 Sr
```

Material: SrTl3Pt3
Method: DFT, PBE
State: optimized geometry

Computed properties:
**Crystal system**: cubic
**M_tot**: 0.00 μB per cell
**ΔE_f**: 41 meV/atom

```
SrTl3Pt3
1.0
-5.9489 4.1429 -2.1696
-4.6751 -5.3571 2.5893
-0.1183 3.3760 6.7712
Sr Tl Pt
2 6 6
Cartesian
-5.3712 1.0809 3.5955 Sr
0.0000 0.0000 0.0000 Sr
-2.4263 -0.1465 6.3730 Tl
-6.4808 -1.9464 0.8572 Tl
-4.5208 4.7952 1.7584 Tl
-1.5464 2.7237 2.8432 Tl
-4.1432 0.7322 -0.4375 Tl
-2.3671 -1.8346 2.9874 Tl
-3.5655 -2.3298 5.3276 Pt
-1.2279 0.3487 4.0329 Pt
-6.7992 0.4286 -0.3325 Pt
-3.8248 -1.6428 0.7523 Pt
-3.0632 4.6035 3.9936 Pt
-3.0040 2.9155 0.6080 Pt
```

Material: Sr2Tl2Pt
Method: DFT, PBE
State: optimized geometry

Computed properties:
**Crystal system**: tetragonal
**M_tot**: 0.00 μB per cell
**ΔE_f**: -305 meV/atom

```
Sr2Tl2Pt
1.0
7.6788 0.0000 0.0000
0.0000 7.6788 0.0000
0.0000 0.0000 5.0822
Sr Tl Pt
4 4 2
Cartesian
5.1810 6.3372 2.5411 Sr
6.3372 2.4978 2.5411 Sr
1.3416 5.1810 2.5411 Sr
2.4978 1.3416 2.5411 Sr
4.9164 1.0770 0.0000 Tl
2.7624 6.6018 0.0000 Tl
6.6018 4.9164 0.0000 Tl
1.0770 2.7624 0.0000 Tl
3.8394 3.8394 0.0000 Pt
0.0000 0.0000 0.0000 Pt
```

Material: Sr2TlPt
Method: DFT, PBE
State: optimized geometry

Computed properties:
**Relative energy among the computed polymorphs**: 256.6 meV per atom
**Crystal system**: tetragonal
**M_tot**: 0.00 μB per cell
**ΔE_f**: -313 meV/atom

```
Sr2TlPt
1.0
8.6502 0.0000 0.0000
0.0000 8.6502 0.0000
4.3251 4.3251 3.6130
Sr Tl Pt
4 2 2
Cartesian
6.0497 2.1626 0.9033 Sr
10.8128 10.3748 2.7098 Sr
2.6005 6.4877 0.9033 Sr
6.4877 6.9256 2.7098 Sr
0.0000 0.0000 0.0000 Tl
8.6502 4.3251 1.8065 Tl
4.3251 4.3251 0.0000 Pt
4.3251 8.6502 1.8065 Pt
```

Material: Sr2TlPt
Method: DFT, PBE
State: optimized geometry

Computed properties:
**Relative energy among the computed polymorphs**: 270.7 meV per atom
**Crystal system**: cubic
**M_tot**: 0.00 μB per cell
**ΔE_f**: -299 meV/atom

```
Sr2TlPt
1.0
5.3020 0.0000 0.0000
2.6510 4.5917 0.0000
2.6510 1.5306 4.3291
Tl Sr Pt
1 2 1
Cartesian
7.9530 4.5917 3.2468 Tl
2.6510 1.5306 1.0823 Sr
0.0000 0.0000 0.0000 Sr
5.3020 3.0611 2.1645 Pt
```

Material: SrTl2Pt
Method: DFT, PBE
State: optimized geometry

Computed properties:
**Crystal system**: tetragonal
**M_tot**: 0.00 μB per cell
**ΔE_f**: -197 meV/atom

```
SrTl2Pt
1.0
4.4828 0.0000 0.0000
0.0000 4.4828 0.0000
2.2414 2.2414 11.3577
Pt Tl Sr
2 4 2
Cartesian
4.4828 2.2414 5.6789 Pt
0.0000 0.0000 0.0000 Pt
5.6035 5.7134 8.5183 Tl
1.0108 3.3621 2.8394 Tl
3.4720 1.1207 2.8394 Tl
3.3621 3.2522 8.5183 Tl
2.2414 2.2414 0.0000 Sr
2.2414 4.4828 5.6789 Sr
```

Material: SrTlPt2
Method: DFT, PBE
State: optimized geometry

Computed properties:
**Crystal system**: monoclinic
**M_tot**: 0.00 μB per cell
**ΔE_f**: -446 meV/atom

```
SrTlPt2
1.0
4.3482 0.0000 0.0000
0.0000 4.1799 0.0529
0.0000 2.0290 5.2677
Pt Tl Sr
2 1 1
Cartesian
0.0000 2.8205 5.1742 Pt
2.1741 0.7639 1.4667 Pt
2.1741 4.9116 4.3842 Tl
0.0000 2.8463 2.2236 Sr
```

Material: SrTl2Pt2
Method: DFT, PBE
State: optimized geometry

Computed properties:
**Crystal system**: tetragonal
**M_tot**: 0.00 μB per cell
**ΔE_f**: -422 meV/atom

```
SrTl2Pt2
1.0
-4.5072 -0.1349 0.4053
-0.3112 -1.9052 -4.0952
-2.0125 -6.5864 0.7145
Pt Tl Sr
2 2 1
Cartesian
-4.5054 -6.4319 -1.6705 Pt
-2.3255 -2.1946 -1.3049 Pt
-2.3665 -4.7558 -2.6128 Tl
-4.4644 -3.8707 -0.3625 Tl
0.0000 0.0000 0.0000 Sr
```

Material: SrTl2Pt
Method: DFT, PBE
State: optimized geometry

Computed properties:
**Crystal system**: trigonal
**M_tot**: 0.00 μB per cell
**ΔE_f**: -379 meV/atom

```
SrTl2Pt
1.0
-2.4789 2.5040 4.8978
-2.5097 -2.3954 4.9363
1.6556 0.0352 5.8019
Pt Sr Tl
1 1 2
Cartesian
-1.8795 0.0811 8.8172 Pt
-2.5285 0.1091 11.8616 Sr
-3.2452 0.1400 15.2237 Tl
-0.6795 0.0293 3.1877 Tl
```

Material: Sr2TlPt2
Method: DFT, PBE
State: optimized geometry

Computed properties:
**Crystal system**: tetragonal
**M_tot**: 0.00 μB per cell
**ΔE_f**: -455 meV/atom

```
Sr2TlPt2
1.0
3.8337 0.0000 0.0000
0.0000 3.8337 0.0000
1.9169 1.9169 9.6763
Pt Tl Sr
2 1 2
Cartesian
1.9169 3.8337 4.8382 Pt
3.8337 1.9169 4.8382 Pt
0.0000 0.0000 0.0000 Tl
1.9169 1.9169 2.4041 Sr
3.8337 3.8337 7.2722 Sr
```

Material: Sr4TlPt2
Method: DFT, PBE
State: optimized geometry

Computed properties:
**Crystal system**: trigonal
**M_tot**: 0.00 μB per cell
**ΔE_f**: -571 meV/atom

```
Sr4TlPt2
1.0
-2.5587 -3.6402 -2.5913
-2.3867 -3.7814 2.5530
-10.1506 3.1892 0.4269
Sr Pt Tl
4 2 1
Cartesian
-4.9911 -0.2474 0.1601 Sr
-10.1048 -3.9850 0.2285 Sr
-4.7283 -3.9943 0.0485 Sr
-10.3676 -0.2381 0.3401 Sr
-7.7284 1.5759 0.3016 Pt
-7.3675 -5.8082 0.0870 Pt
0.0000 0.0000 0.0000 Tl
```

Material: SrTl2Pt
Method: DFT, PBE
State: optimized geometry

Computed properties:
**Crystal system**: monoclinic
**M_tot**: 0.00 μB per cell
**ΔE_f**: -347 meV/atom

```
SrTl2Pt
1.0
4.4870 0.0000 0.0000
0.0000 5.3768 -0.0665
0.0000 2.0903 4.9739
Tl Pt Sr
2 1 1
Cartesian
0.0000 0.4778 0.3126 Tl
0.0000 3.2558 2.1411 Tl
2.2435 1.8668 1.2268 Pt
2.2435 5.6003 3.6805 Sr
```

Material: Sr4TlPt
Method: DFT, PBE
State: optimized geometry

Computed properties:
**Relative energy among the computed polymorphs**: 955.4 meV per atom
**Crystal system**: cubic
**M_tot**: 0.00 μB per cell
**ΔE_f**: 489 meV/atom

```
Sr4TlPt
1.0
0.0000 4.7674 4.7674
4.7674 0.0000 4.7674
4.7674 4.7674 0.0000
Pt Sr Tl
1 4 1
Cartesian
0.0000 0.0000 0.0000 Pt
5.9656 5.9656 3.5693 Sr
5.9656 3.5693 5.9656 Sr
3.5693 5.9656 5.9656 Sr
3.5693 3.5693 3.5693 Sr
7.1512 7.1512 7.1512 Tl
```

Material: SrTlPt2
Method: DFT, PBE
State: optimized geometry

Computed properties:
**Crystal system**: trigonal
**M_tot**: 0.00 μB per cell
**ΔE_f**: -482 meV/atom

```
SrTlPt2
1.0
5.8247 -0.4353 -0.2727
4.2319 4.0259 -0.2727
4.2319 1.5109 3.7416
Pt Tl Sr
2 1 1
Cartesian
6.4021 2.2858 1.4320 Pt
0.7422 0.2650 0.1660 Pt
10.7164 3.8261 2.3971 Tl
3.5721 1.2754 0.7990 Sr
```

Material: SrTl2Pt
Method: DFT, PBE
State: optimized geometry

Computed properties:
**Crystal system**: tetragonal
**M_tot**: 0.00 μB per cell
**ΔE_f**: -271 meV/atom

```
SrTl2Pt
1.0
4.5140 0.0000 0.0000
0.0000 4.5102 0.0000
0.0000 0.0000 5.1910
Tl Sr Pt
2 1 1
Cartesian
2.2570 2.2551 0.0000 Tl
0.0000 0.0000 0.0000 Tl
0.0000 2.2551 2.5955 Sr
2.2570 0.0000 2.5955 Pt
```

no.,VASP energy (eV per atom)
1,-5.827
2,-6.203
3,-5.643
4,-4.349
5,-5.884
6,-5.822
7,-4.619
8,-3.420
9,-3.450
10,-2.748
11,-4.135
12,-3.381
13,-3.410
14,-3.802
15,-3.132
16,-3.256
17,-3.241
18,-3.311
19,-4.478
20,-4.121
21,-3.493
22,-4.017
23,-3.596
24,-3.460
25,-2.033
26,-4.514
27,-3.385